A plane-wave DFT calculation with PBE with a Hubbard U was carried out for an optimized crystal structure of CoTc2NO.

Cell lengths 4.076, 4.076, 3.488 Å; angles 90.00, 90.00, 90.00 degrees
Fractional positions:
Co  0.000  0.000  0.000
Tc  0.000  0.500  0.500
Tc  0.500  0.000  0.500
N  0.500  0.500  0.000
O  0.000  0.000  0.500

Output
* D(E_F): 5.7 states/eV per cell
* V: 57.94 Å³ per cell
* E_tot: -6.631 eV/atom